VASP calculation (PBE) on a geometry-optimized Cr2FeIrN structure.

The value obtained for the calculated volume is 11.20 A^3/atom. The formation energy without anion corrections is -0.225 eV/atom. The electronic total energy is -46.02 eV for the cell shown.

The structure belongs to space group P4/mmm (No. 123); the cell edges are 3.834, 3.834 and 3.810 Å and the angles 90.00°, 90.00° and 90.00°. The inequivalent atoms are Cr at (0.000, 0.500, 0.000), Fe at (0.000, 0.000, 0.500), Ir at (0.500, 0.500, 0.500) and N at (0.000, 0.000, 0.000).